1.
Compound: Ce3InRu2
Source: the Alexandria database
Functional: PBE
Structure: optimized geometry

## Properties
Its space-group type is C2/m.

Cell lengths 9.9687, 9.9687, 9.0527 Å; angles 97.52, 97.52, 18.70 degrees
Last column: nearest neighbours and their distance in Å.
Fractional positions:
Ce 0.0711 0.0711 0.3125  1 Ru 2.32
Ce 0.3065 0.3065 0.7559  2 Ru 2.83, 2 Ce 3.03
Ce 0.4094 0.4094 0.0914  1 Ru 2.48
Ce 0.5906 0.5906 0.9086  1 Ru 2.48
Ce 0.6935 0.6935 0.2441  2 Ru 2.83, 2 Ce 3.03
Ce 0.9289 0.9289 0.6875  1 Ru 2.32
In 0.3386 0.3386 0.4042  3 Ru 2.78-2.93
In 0.6614 0.6614 0.5958  3 Ru 2.78-2.93
Ru 0.0429 0.0429 0.6476  1 Ce 2.32
Ru 0.2842 0.2842 0.1043  1 Ce 2.48, 2 Ru 2.71
Ru 0.7158 0.7158 0.8957  1 Ce 2.48, 2 Ru 2.71
Ru 0.9571 0.9571 0.3524  1 Ce 2.32

2.
Compound: Ce2In3Ru2
Source: the Alexandria database
Functional: PBE
Structure: optimized geometry

## Properties
Its space-group type is Pnma.

Cell lengths 17.7574, 4.7056, 7.5356 Å; angles 90.00, 90.00, 90.00 degrees
Last column: nearest neighbours and their distance in Å.
Fractional positions:
Ce 0.0749 0.2500 0.0548  2 Ru 2.34-2.38
Ce 0.1472 0.2500 0.5683  9 In 3.21-3.44, 4 Ru 3.45-3.47
Ce 0.3528 0.7500 0.0683  9 In 3.21-3.44, 4 Ru 3.45-3.47
Ce 0.4251 0.7500 0.5548  2 Ru 2.34-2.38
Ce 0.5749 0.2500 0.4452  2 Ru 2.34-2.38
Ce 0.6472 0.2500 0.9317  9 In 3.21-3.44, 4 Ru 3.45-3.47
Ce 0.8528 0.7500 0.4317  9 In 3.21-3.44, 4 Ru 3.45-3.47
Ce 0.9251 0.7500 0.9452  2 Ru 2.34-2.38
In 0.0318 0.7500 0.3758  3 Ru 2.80-2.90, 1 In 2.97
In 0.1849 0.7500 0.8622  4 Ru 2.83-2.90, 1 In 3.13
In 0.1937 0.7500 0.2768  3 Ru 2.81-2.83, 2 In 2.97-3.13
In 0.3063 0.2500 0.7768  3 Ru 2.81-2.83, 2 In 2.97-3.13
In 0.3151 0.2500 0.3622  4 Ru 2.83-2.90, 1 In 3.13
In 0.4682 0.2500 0.8758  3 Ru 2.80-2.90, 1 In 2.97
In 0.5318 0.7500 0.1242  3 Ru 2.80-2.90, 1 In 2.97
In 0.6849 0.7500 0.6378  4 Ru 2.83-2.90, 1 In 3.13
In 0.6937 0.7500 0.2232  3 Ru 2.81-2.83, 2 In 2.97-3.13
In 0.8063 0.2500 0.7232  3 Ru 2.81-2.83, 2 In 2.97-3.13
In 0.8151 0.2500 0.1378  4 Ru 2.83-2.90, 1 In 3.13
In 0.9682 0.2500 0.6242  3 Ru 2.80-2.90, 1 In 2.97
Ru 0.0315 0.7500 0.7613  1 Ce 2.34
Ru 0.2090 0.2500 0.0705  1 Ce 2.38
Ru 0.2910 0.7500 0.5705  1 Ce 2.38
Ru 0.4685 0.2500 0.2613  1 Ce 2.34
Ru 0.5315 0.7500 0.7387  1 Ce 2.34
Ru 0.7090 0.2500 0.4295  1 Ce 2.38
Ru 0.7910 0.7500 0.9295  1 Ce 2.38
Ru 0.9685 0.2500 0.2387  1 Ce 2.34

3.
Compound: CeInRu
Source: the Alexandria database
Functional: PBE
Structure: optimized geometry

## Properties
Its space-group type is F-43m.

Cell lengths 4.6930, 4.6930, 4.6930 Å; angles 60.00, 60.00, 60.00 degrees
Last column: nearest neighbours and their distance in Å.
Fractional positions:
Ce 0.0000 0.0000 0.0000  4 Ru 2.87
In 0.5000 0.5000 0.5000  4 Ru 2.87
Ru 0.7500 0.7500 0.7500  4 In 2.87, 4 Ce 2.87

4.
Compound: Ce2InRu2
Source: the Alexandria database
Functional: PBE
Structure: optimized geometry

## Properties
Its space-group type is C2/c.

Cell lengths 5.8876, 5.8876, 8.7759 Å; angles 108.34, 108.34, 51.39 degrees
Last column: nearest neighbours and their distance in Å.
Fractional positions:
Ce 0.0225 0.2861 0.1301  2 Ru 2.53-2.79
Ce 0.2861 0.0225 0.6301  2 Ru 2.53-2.79
Ce 0.7139 0.9775 0.3699  2 Ru 2.53-2.79
Ce 0.9775 0.7139 0.8699  2 Ru 2.53-2.79
In 0.3870 0.6130 0.2500  4 Ru 2.75-2.84
In 0.6130 0.3870 0.7500  4 Ru 2.75-2.84
Ru 0.1996 0.5161 0.4578  2 Ce 2.53-2.79, 1 In 2.75, 1 Ru 2.80
Ru 0.4839 0.8004 0.0422  2 Ce 2.53-2.79, 1 In 2.75, 1 Ru 2.80
Ru 0.5161 0.1996 0.9578  2 Ce 2.53-2.79, 1 In 2.75, 1 Ru 2.80
Ru 0.8004 0.4839 0.5422  2 Ce 2.53-2.79, 1 In 2.75, 1 Ru 2.80

5.
Compound: Ce4In3Ru2
Source: the Alexandria database
Functional: PBE
Structure: optimized geometry

## Properties
Its space-group type is C2/c.

Cell lengths 8.8559, 8.8559, 6.8007 Å; angles 90.49, 90.49, 59.76 degrees
Last column: nearest neighbours and their distance in Å.
Fractional positions:
Ce 0.1133 0.7063 0.8579  1 Ru 2.69
Ce 0.2354 0.3394 0.4805  2 Ru 2.62-2.71
Ce 0.2937 0.8867 0.6421  1 Ru 2.69
Ce 0.3394 0.2354 0.9805  2 Ru 2.62-2.71
Ce 0.6606 0.7646 0.0195  2 Ru 2.62-2.71
Ce 0.7063 0.1133 0.3579  1 Ru 2.69
Ce 0.7646 0.6606 0.5195  2 Ru 2.62-2.71
Ce 0.8867 0.2937 0.1421  1 Ru 2.69
In 0.0791 0.7567 0.3659  1 Ru 2.78, 2 In 2.99-3.08
In 0.2433 0.9209 0.1341  1 Ru 2.78, 2 In 2.99-3.08
In 0.4662 0.5338 0.2500  2 In 3.08, 2 Ce 3.31
In 0.5338 0.4662 0.7500  2 In 3.08, 2 Ce 3.31
In 0.7567 0.0791 0.8659  1 Ru 2.78, 2 In 2.99-3.08
In 0.9209 0.2433 0.6341  1 Ru 2.78, 2 In 2.99-3.08
Ru 0.0398 0.4482 0.8106  3 Ce 2.62-2.71, 1 Ru 2.70, 1 In 2.78
Ru 0.4482 0.0398 0.3106  3 Ce 2.62-2.71, 1 Ru 2.70, 1 In 2.78
Ru 0.5518 0.9602 0.6894  3 Ce 2.62-2.71, 1 Ru 2.70, 1 In 2.78
Ru 0.9602 0.5518 0.1894  3 Ce 2.62-2.71, 1 Ru 2.70, 1 In 2.78

6.
Compound: Ce12In6Ru
Source: the Alexandria database
Functional: PBE
Structure: optimized geometry

## Properties
Its space-group type is R-3.

Cell lengths 7.9343, 7.9343, 7.9343 Å; angles 89.08, 89.08, 89.08 degrees
Last column: nearest neighbours and their distance in Å.
Fractional positions:
Ce 0.0011 0.7247 0.0846  2 Ce 2.74
Ce 0.0846 0.0011 0.7247  2 Ce 2.74
Ce 0.1504 0.3535 0.4318  2 Ce 2.80, 1 Ru 3.08
Ce 0.2753 0.9154 0.9989  2 Ce 2.74
Ce 0.3535 0.4318 0.1504  2 Ce 2.80, 1 Ru 3.08
Ce 0.4318 0.1504 0.3535  2 Ce 2.80, 1 Ru 3.08
Ce 0.5682 0.8496 0.6465  2 Ce 2.80, 1 Ru 3.08
Ce 0.6465 0.5682 0.8496  2 Ce 2.80, 1 Ru 3.08
Ce 0.7247 0.0846 0.0011  2 Ce 2.74
Ce 0.8496 0.6465 0.5682  2 Ce 2.80, 1 Ru 3.08
Ce 0.9154 0.9989 0.2753  2 Ce 2.74
Ce 0.9989 0.2753 0.9154  2 Ce 2.74
In 0.2343 0.5938 0.7561  1 Ru 3.00, 2 In 3.07, 3 Ce 3.25-3.34
In 0.2439 0.7657 0.4062  1 Ru 3.00, 2 In 3.07, 3 Ce 3.25-3.34
In 0.4062 0.2439 0.7657  1 Ru 3.00, 2 In 3.07, 3 Ce 3.25-3.34
In 0.5938 0.7561 0.2343  1 Ru 3.00, 2 In 3.07, 3 Ce 3.25-3.34
In 0.7561 0.2343 0.5938  1 Ru 3.00, 2 In 3.07, 3 Ce 3.25-3.34
In 0.7657 0.4062 0.2439  1 Ru 3.00, 2 In 3.07, 3 Ce 3.25-3.34
Ru 0.5000 0.5000 0.5000  6 In 3.00, 6 Ce 3.08

7.
Compound: Ce3In2Ru
Source: the Alexandria database
Functional: PBE
Structure: optimized geometry

## Properties
Its space-group type is C2/m.

Cell lengths 6.5441, 6.5441, 8.2088 Å; angles 95.18, 95.18, 105.81 degrees
Last column: nearest neighbours and their distance in Å.
Fractional positions:
Ce 0.0381 0.4126 0.7749  2 Ru 2.77-2.81
Ce 0.1720 0.1720 0.1702  2 Ru 2.90, 2 In 3.12-3.20
Ce 0.4126 0.0381 0.7749  2 Ru 2.77-2.81
Ce 0.5874 0.9619 0.2251  2 Ru 2.77-2.81
Ce 0.8280 0.8280 0.8298  2 Ru 2.90, 2 In 3.12-3.20
Ce 0.9619 0.5874 0.2251  2 Ru 2.77-2.81
In 0.0000 0.0000 0.5000  6 Ce 3.20-3.30
In 0.3635 0.6365 0.5000  1 In 2.85
In 0.5000 0.5000 0.0000  2 Ru 2.94, 6 Ce 3.12-3.28
In 0.6365 0.3635 0.5000  1 In 2.85
Ru 0.2179 0.7821 0.0000  6 Ce 2.77-2.90, 1 In 2.94
Ru 0.7821 0.2179 0.0000  6 Ce 2.77-2.90, 1 In 2.94

8.
Compound: Ce7InRu2
Source: the Alexandria database
Functional: PBE
Structure: optimized geometry

## Properties
Its space-group type is Cmmm.

Cell lengths 7.9217, 7.9217, 5.2164 Å; angles 90.00, 90.00, 112.55 degrees
Last column: nearest neighbours and their distance in Å.
Fractional positions:
Ce 0.0000 0.0000 0.0000  2 Ru 2.46
Ce 0.2149 0.7851 0.5000  2 Ru 2.64
Ce 0.2198 0.4462 0.0000  3 Ce 2.94-3.29, 2 Ru 3.02-3.08
Ce 0.4462 0.2198 0.0000  3 Ce 2.94-3.29, 2 Ru 3.02-3.08
Ce 0.5538 0.7802 0.0000  3 Ce 2.94-3.29, 2 Ru 3.02-3.08
Ce 0.7802 0.5538 0.0000  3 Ce 2.94-3.29, 2 Ru 3.02-3.08
Ce 0.7851 0.2149 0.5000  2 Ru 2.64
In 0.5000 0.5000 0.5000  8 Ce 3.34
Ru 0.1864 0.8136 0.0000  3 Ce 2.46-2.64
Ru 0.8136 0.1864 0.0000  3 Ce 2.46-2.64

9.
Compound: Ce3InRu
Source: the Alexandria database
Functional: PBE
Structure: optimized geometry

## Properties
Its energy relative to the lowest polymorph listed for this composition is 0 meV per atom. Its space-group type is C2/m.

Cell lengths 7.7736, 7.7736, 6.6938 Å; angles 96.35, 96.35, 39.33 degrees
Last column: nearest neighbours and their distance in Å.
Fractional positions:
Ce 0.0607 0.0607 0.2320  1 Ru 2.52
Ce 0.2079 0.2079 0.8001  1 Ru 2.66
Ce 0.4094 0.4094 0.5527  1 Ru 2.79, 3 Ce 2.83-2.99
Ce 0.5906 0.5906 0.4473  1 Ru 2.79, 3 Ce 2.83-2.99
Ce 0.7921 0.7921 0.1999  1 Ru 2.66
Ce 0.9393 0.9393 0.7680  1 Ru 2.52
In 0.4110 0.4110 0.0732  1 In 2.89, 1 Ce 3.21
In 0.5890 0.5890 0.9268  1 In 2.89, 1 Ce 3.21
Ru 0.2230 0.2230 0.4078  3 Ce 2.52-2.79
Ru 0.7770 0.7770 0.5922  3 Ce 2.52-2.79

10.
Compound: Ce3InRu
Source: the Alexandria database
Functional: PBE
Structure: optimized geometry

## Properties
Its energy relative to the lowest polymorph listed for this composition is 52 meV per atom. Its space-group type is Pm-3m.

Cell lengths 5.3158, 5.3158, 5.3158 Å; angles 90.00, 90.00, 90.00 degrees
Last column: nearest neighbours and their distance in Å.
Fractional positions:
Ce 0.0000 0.0000 0.5000  2 Ru 2.66
Ce 0.0000 0.5000 0.0000  2 Ru 2.66
Ce 0.5000 0.0000 0.0000  2 Ru 2.66
In 0.5000 0.5000 0.5000  12 Ce 3.76
Ru 0.0000 0.0000 0.0000  6 Ce 2.66

Ordered energy of formation results: -0.3; -3.0; -0.6; -2.1; -2.9; -3.6; -1.2; -0.5; -1.2; -1.0; unit eV/f.u..